The following is a DFT calculation (GGA-PBE) of an optimized crystal structure of Ti9Zn2Ga.

Cell and atoms, written as CIF:
```
data_Ti9Zn2Ga
_chemical_formula_sum 'Ti9 Zn2 Ga1'
_cell_length_a 4.017
_cell_length_b 4.017
_cell_length_c 12.037
_cell_angle_alpha 90.00
_cell_angle_beta 90.00
_cell_angle_gamma 90.00
_symmetry_space_group_name_H-M 'P 1'
_symmetry_Int_Tables_number 1
loop_
_symmetry_equiv_pos_as_xyz
'x,y,z'
loop_
_atom_site_label
_atom_site_type_symbol
_atom_site_fract_x
_atom_site_fract_y
_atom_site_fract_z
_atom_site_occupancy
Ti1 Ti 0.000 0.000 0.000 1
Ti2 Ti 0.000 0.000 0.334 1
Ti3 Ti 0.000 0.000 0.666 1
Ti4 Ti 0.000 0.500 0.166 1
Ti5 Ti 0.000 0.500 0.500 1
Ti6 Ti 0.000 0.500 0.834 1
Ti7 Ti 0.500 0.000 0.166 1
Ti8 Ti 0.500 0.000 0.500 1
Ti9 Ti 0.500 0.000 0.834 1
Zn1 Zn 0.500 0.500 0.334 1
Zn2 Zn 0.500 0.500 0.666 1
Ga1 Ga 0.500 0.500 0.000 1
```

Results
Formation energy ... -0.18 eV/atom
Theoretical density ... 5.4 g cm⁻³
Total energy ... -6.56 eV per atom